Record 1
A relaxed Sr3CaPd crystal, computed with GGA-PBE.

Unit cell a=8.1463 b=8.2047 c=8.7950 alpha=122.92 beta=57.33 gamma=107.06
Last column: nearest neighbours and their distance in Å.
Fractional coordinates of all 10 atoms:
Ca 0.6460 0.5561 0.7522  1 Pd 2.90
Pd 0.9425 0.2667 0.5184  1 Ca 2.90, 3 Sr 3.02-3.05
Sr 0.1705 0.0679 0.6558  1 Pd 3.02
Sr 0.2717 0.9797 0.1447  2 Pd 3.05-3.42
Sr 0.7328 0.4388 0.0464  1 Pd 3.02
Sr 0.1356 0.4798 0.2130  2 Pd 3.05-3.42
Pd 0.4650 0.7668 0.2567  1 Ca 2.90, 3 Sr 3.02-3.05
Ca 0.7613 0.0561 0.1944  1 Pd 2.90
Sr 0.6749 0.9386 0.5753  1 Pd 3.02
Sr 0.2371 0.5678 0.6224  1 Pd 3.02

Output
The calculation puts the energy of formation from the pure elements at -294 meV/atom. The value obtained for the density is 3.27 g/cm³. The total energy comes out at -2.74 eV per atom. Its space group is No. 9.

---

Record 2
A relaxed SrCaPd2 crystal, computed with GGA-PBE.

Unit cell a=5.1409 b=5.1409 c=5.1409 alpha=60.00 beta=60.00 gamma=60.00
Last column: nearest neighbours and their distance in Å.
Fractional coordinates of all 4 atoms:
Pd 0.2500 0.2500 0.2500  4 Ca 3.15, 4 Sr 3.15
Ca 0.0000 0.0000 0.0000  8 Pd 3.15
Pd 0.7500 0.7500 0.7500  4 Sr 3.15, 4 Ca 3.15
Sr 0.5000 0.5000 0.5000  8 Pd 3.15

Output
The calculation puts the energy of formation from the pure elements at -582 meV/atom. The value obtained for the density is 5.89 g/cm³. The total energy comes out at -4.10 eV per atom. Its space group is No. 225.

---

Record 3
A relaxed SrCa3Pd crystal, computed with GGA-PBE.

Unit cell a=6.0736 b=6.0736 c=14.3595 alpha=77.79 beta=77.79 gamma=90.00
Last column: nearest neighbours and their distance in Å.
Fractional coordinates of all 10 atoms:
Pd 0.8020 0.3020 0.3961  1 Pd 2.85, 2 Ca 3.06
Ca 0.1355 0.3741 0.7290  2 Ca 2.90-3.18
Ca 0.6832 0.6832 0.6336  2 Pd 3.06
Ca 0.3168 0.3168 0.3664  2 Pd 3.06
Ca 0.1355 0.8969 0.7290  2 Ca 2.90-3.18
Sr 0.2500 0.7500 0.5000  8 Ca 3.52-3.55
Ca 0.1031 0.8645 0.2710  2 Ca 2.90-3.18
Pd 0.6980 0.1980 0.6039  1 Pd 2.85, 2 Ca 3.06
Ca 0.6259 0.8645 0.2710  2 Ca 2.90-3.18
Sr 0.0000 0.0000 0.0000  4 Ca 3.99

Output
The calculation puts the energy of formation from the pure elements at 564 meV/atom. The value obtained for the density is 2.06 g/cm³. The total energy comes out at -2.01 eV per atom. Its space group is No. 119.

---

Record 4
A relaxed Sr3CaPd crystal, computed with GGA-PBE.

Unit cell a=4.1555 b=11.1539 c=11.1539 alpha=136.03 beta=90.00 gamma=90.00
Last column: nearest neighbours and their distance in Å.
Fractional coordinates of all 5 atoms:
Ca 0.5000 0.0969 0.9031  4 Sr 4.09-4.11, 2 Ca 4.16
Sr 0.0000 0.2682 0.7318  1 Pd 2.90
Sr 0.5000 0.1775 0.3232  2 Pd 2.97
Pd 0.0000 0.4086 0.5914  5 Sr 2.90-2.97
Sr 0.5000 0.6768 0.8225  2 Pd 2.97

Output
The calculation puts the energy of formation from the pure elements at 197 meV/atom. The value obtained for the density is 1.89 g/cm³. The total energy comes out at -2.25 eV per atom. Its space group is No. 38.

---

Record 5
A relaxed SrCa3Pd crystal, computed with GGA-PBE.

Unit cell a=25.3378 b=8.0577 c=9.4251 alpha=90.00 beta=158.22 gamma=90.00
Last column: nearest neighbours and their distance in Å.
Fractional coordinates of all 20 atoms:
Pd 0.8283 0.2345 0.5509  7 Ca 3.04-3.31, 2 Sr 3.19-3.31
Ca 0.7793 0.6685 0.9000  1 Pd 3.21
Sr 0.3819 0.4723 0.8859  2 Pd 3.19-3.31, 1 Ca 3.57
Ca 0.5313 0.0474 0.7662  3 Pd 3.20-3.25, 2 Ca 3.52-3.56
Ca 0.8607 0.8670 0.6950  3 Pd 3.04-3.31
Ca 0.9687 0.5474 0.7338  3 Pd 3.20-3.25, 2 Ca 3.52-3.56
Ca 0.4687 0.9526 0.2338  3 Pd 3.20-3.25, 2 Ca 3.52-3.56
Sr 0.6181 0.5277 0.1141  2 Pd 3.19-3.31, 1 Ca 3.57
Ca 0.2793 0.8315 0.4000  1 Pd 3.21
Ca 0.1393 0.1330 0.3050  3 Pd 3.04-3.31
Ca 0.3607 0.6330 0.1950  3 Pd 3.04-3.31
Pd 0.1717 0.7655 0.4491  7 Ca 3.04-3.31, 2 Sr 3.19-3.31
Sr 0.1181 0.9723 0.6141  2 Pd 3.19-3.31, 1 Ca 3.57
Ca 0.7207 0.1685 0.6000  1 Pd 3.21
Ca 0.2207 0.3315 0.1000  1 Pd 3.21
Ca 0.6393 0.3670 0.8050  3 Pd 3.04-3.31
Pd 0.6717 0.7345 0.9491  7 Ca 3.04-3.31, 2 Sr 3.19-3.31
Ca 0.0313 0.4526 0.2662  3 Pd 3.20-3.25, 2 Ca 3.52-3.56
Pd 0.3283 0.2655 0.0509  7 Ca 3.04-3.31, 2 Sr 3.19-3.31
Sr 0.8819 0.0277 0.3859  2 Pd 3.19-3.31, 1 Ca 3.57

Output
The calculation puts the energy of formation from the pure elements at -288 meV/atom. The value obtained for the density is 2.92 g/cm³. The total energy comes out at -2.86 eV per atom. Its space group is No. 14.

---

Record 6
A relaxed Sr2CaPd crystal, computed with GGA-PBE.

Unit cell a=4.1970 b=7.1667 c=10.2239 alpha=90.00 beta=90.00 gamma=107.11
Last column: nearest neighbours and their distance in Å.
Fractional coordinates of all 8 atoms:
Pd 0.2608 0.5217 0.2500  2 Ca 2.93, 4 Sr 3.24
Sr 0.6428 0.2863 0.4323  3 Pd 3.24-3.50
Ca 0.9105 0.8207 0.2500  2 Pd 2.93
Sr 0.3572 0.7137 0.9323  3 Pd 3.24-3.50
Ca 0.0895 0.1793 0.7500  2 Pd 2.93
Sr 0.3572 0.7137 0.5677  3 Pd 3.24-3.50
Sr 0.6428 0.2863 0.0677  3 Pd 3.24-3.50
Pd 0.7392 0.4783 0.7500  2 Ca 2.93, 4 Sr 3.24

Output
The calculation puts the energy of formation from the pure elements at -382 meV/atom. The value obtained for the density is 3.64 g/cm³. The total energy comes out at -3.02 eV per atom. Its space group is No. 11.

---

Record 7
A relaxed Sr2CaPd crystal, computed with GGA-PBE.

Unit cell a=7.0695 b=8.0016 c=10.3401 alpha=90.00 beta=90.00 gamma=90.00
Last column: nearest neighbours and their distance in Å.
Fractional coordinates of all 16 atoms:
Ca 0.3405 0.4509 0.7500  2 Pd 2.93-2.95
Pd 0.4725 0.8753 0.2500  2 Ca 2.93-2.95, 4 Sr 3.20-3.27
Sr 0.1717 0.6719 0.0680  2 Pd 3.20-3.27
Pd 0.5275 0.1247 0.7500  2 Ca 2.93-2.95, 4 Sr 3.20-3.27
Sr 0.1717 0.6719 0.4320  2 Pd 3.20-3.27
Sr 0.8283 0.3281 0.9320  2 Pd 3.20-3.27
Sr 0.6717 0.8281 0.5680  2 Pd 3.20-3.27
Ca 0.1595 0.9509 0.7500  2 Pd 2.93-2.95
Sr 0.3283 0.1719 0.0680  2 Pd 3.20-3.27
Ca 0.6595 0.5491 0.2500  2 Pd 2.93-2.95
Pd 0.9725 0.6247 0.7500  2 Ca 2.93-2.95, 4 Sr 3.20-3.27
Sr 0.6717 0.8281 0.9320  2 Pd 3.20-3.27
Sr 0.3283 0.1719 0.4320  2 Pd 3.20-3.27
Sr 0.8283 0.3281 0.5680  2 Pd 3.20-3.27
Ca 0.8405 0.0491 0.2500  2 Pd 2.93-2.95
Pd 0.0275 0.3753 0.2500  2 Ca 2.93-2.95, 4 Sr 3.20-3.27

Output
The calculation puts the energy of formation from the pure elements at -389 meV/atom. The value obtained for the density is 3.65 g/cm³. The total energy comes out at -3.03 eV per atom. Its space group is No. 62.

---

Record 8
A relaxed Sr2Ca3Pd4 crystal, computed with GGA-PBE.

Unit cell a=7.8116 b=7.9976 c=8.0113 alpha=90.00 beta=90.00 gamma=108.81
Last column: nearest neighbours and their distance in Å.
Fractional coordinates of all 18 atoms:
Pd 0.8752 0.4980 0.1250  1 Pd 2.79, 4 Ca 3.01-3.10
Pd 0.6293 0.9151 0.0362  1 Pd 2.83, 4 Ca 2.97-3.16
Ca 0.7504 0.2442 0.8297  6 Pd 2.97-3.06
Ca 0.0000 0.5000 0.5000  6 Pd 3.10-3.16
Pd 0.6248 0.5020 0.6250  1 Pd 2.79, 4 Ca 3.01-3.10
Pd 0.8707 0.0849 0.5362  1 Pd 2.83, 4 Ca 2.97-3.16
Sr 0.0703 0.1933 0.1761  6 Pd 3.23-3.38
Pd 0.3707 0.0849 0.9638  1 Pd 2.83, 4 Ca 2.97-3.16
Ca 0.7496 0.7558 0.3297  6 Pd 2.97-3.06
Pd 0.3752 0.4980 0.3750  1 Pd 2.79, 4 Ca 3.01-3.10
Sr 0.9297 0.8067 0.8239  6 Pd 3.23-3.38
Sr 0.5703 0.1933 0.3239  6 Pd 3.23-3.38
Sr 0.4297 0.8067 0.6761  6 Pd 3.23-3.38
Pd 0.1248 0.5020 0.8750  1 Pd 2.79, 4 Ca 3.01-3.10
Ca 0.2496 0.7558 0.1703  6 Pd 2.97-3.06
Ca 0.2504 0.2442 0.6703  6 Pd 2.97-3.06
Ca 0.5000 0.5000 0.0000  6 Pd 3.10-3.16
Pd 0.1293 0.9151 0.4638  1 Pd 2.83, 4 Ca 2.97-3.16

Output
The calculation puts the energy of formation from the pure elements at -640 meV/atom. The value obtained for the density is 5.06 g/cm³. The total energy comes out at -3.99 eV per atom. Its space group is No. 14.

---

Record 9
A relaxed Sr3CaPd crystal, computed with GGA-PBE.

Unit cell a=6.7708 b=6.7708 c=11.3515 alpha=72.65 beta=72.65 gamma=90.00
Last column: nearest neighbours and their distance in Å.
Fractional coordinates of all 10 atoms:
Sr 0.2945 0.2945 0.4110  2 Pd 3.51
Ca 0.9555 0.4555 0.0891  2 Pd 3.51, 2 Sr 3.83
Sr 0.1277 0.8778 0.2444  2 Pd 3.03-3.13, 2 Sr 3.38-3.39
Sr 0.1222 0.8723 0.7556  2 Pd 3.03-3.13, 2 Sr 3.38-3.39
Pd 0.0000 0.0000 0.0000  4 Sr 3.03
Sr 0.1222 0.3721 0.7556  2 Pd 3.03-3.13, 2 Sr 3.38-3.39
Sr 0.7055 0.7055 0.5890  2 Pd 3.51
Pd 0.2500 0.7500 0.5000  4 Sr 3.13
Ca 0.5445 0.0445 0.9109  2 Pd 3.51, 2 Sr 3.83
Sr 0.6279 0.8778 0.2444  2 Pd 3.03-3.13, 2 Sr 3.38-3.39

Output
The calculation puts the energy of formation from the pure elements at 29 meV/atom. The value obtained for the density is 2.88 g/cm³. The total energy comes out at -2.42 eV per atom. Its space group is No. 119.

---

Record 10
A relaxed Sr2CaPd crystal, computed with GGA-PBE.

Unit cell a=10.7094 b=10.7094 c=8.1209 alpha=48.75 beta=48.75 gamma=90.00
Last column: nearest neighbours and their distance in Å.
Fractional coordinates of all 8 atoms:
Sr 0.9935 0.6250 0.2500  2 Pd 3.05
Sr 0.8750 0.0065 0.7500  2 Pd 3.05
Pd 0.7500 0.2500 0.5000  2 Ca 2.93, 4 Sr 3.05
Sr 0.3750 0.2435 0.7500  2 Pd 3.05
Pd 0.0000 0.0000 0.0000  2 Ca 2.93, 4 Sr 3.05
Ca 0.5000 0.5000 0.0000  2 Pd 2.93
Sr 0.7565 0.1250 0.2500  2 Pd 3.05
Ca 0.2500 0.7500 0.5000  2 Pd 2.93

Output
The calculation puts the energy of formation from the pure elements at -200 meV/atom. The value obtained for the density is 3.18 g/cm³. The total energy comes out at -2.84 eV per atom. Its space group is No. 122.

---

Record 11
A relaxed Sr3CaPd crystal, computed with GGA-PBE.

Unit cell a=5.7499 b=8.8262 c=8.6020 alpha=90.00 beta=90.02 gamma=90.00
Last column: nearest neighbours and their distance in Å.
Fractional coordinates of all 10 atoms:
Sr 0.5000 0.2500 0.9992  10 Sr 4.26-4.41, 2 Ca 4.30-4.31
Sr 0.5000 0.7500 0.0008  10 Sr 4.26-4.41, 2 Ca 4.30-4.31
Ca 0.5004 0.7500 0.5003  2 Pd 2.87-2.88
Ca 0.4996 0.2500 0.4997  2 Pd 2.87-2.88
Sr 0.0000 0.4996 0.2603  2 Pd 3.02
Sr 0.0000 0.5004 0.7397  2 Pd 3.02
Pd 0.0005 0.7500 0.4994  2 Ca 2.87-2.88, 4 Sr 3.02
Sr 0.0000 0.0004 0.2603  2 Pd 3.02
Sr 0.0000 0.9996 0.7397  2 Pd 3.02
Pd 0.9995 0.2500 0.5006  2 Ca 2.87-2.88, 4 Sr 3.02

Output
The calculation puts the energy of formation from the pure elements at -288 meV/atom. The value obtained for the density is 3.11 g/cm³. The total energy comes out at -2.74 eV per atom. Its space group is No. 11.